Model P:
The following is a DFT calculation (PBE) of crystalline HoEr2Hf at its relaxed geometry.

Its spin magnetization is 0.00 Bohr magnetons per cell. As for the space group: R3m.

Unit cell a=11.248 b=11.248 c=11.248 alpha=17.49 beta=17.49 gamma=17.49
Element x y z (fractional)
1 Ho 0.000 0.000 0.000
2 Er 0.578 0.578 0.578
3 Er 0.755 0.755 0.755
4 Hf 0.166 0.166 0.166


Model Q:
The following is a DFT calculation (PBE) of crystalline HoEr2Hf at its relaxed geometry.

Its spin magnetization is 0.00 Bohr magnetons per cell. As for the space group: P4/mmm.

Unit cell a=3.957 b=3.957 c=7.228 alpha=90.00 beta=90.00 gamma=90.00
Element x y z (fractional)
1 Ho 0.000 0.000 0.000
2 Er 0.500 0.500 0.277
3 Er 0.500 0.500 0.723
4 Hf 0.000 0.000 0.500


Quick one: most stable of them? model P


Model P:
The following is a DFT calculation (PBE) of crystalline HoEr2Hf at its relaxed geometry.

Its spin magnetization is 0.00 Bohr magnetons per cell. As for the space group: R-3m.

Unit cell a=12.059 b=12.059 c=12.059 alpha=15.80 beta=15.80 gamma=15.80
Element x y z (fractional)
1 Ho 0.000 0.000 0.000
2 Er 0.413 0.413 0.413
3 Er 0.587 0.587 0.587
4 Hf 0.500 0.500 0.500


Model Q:
The following is a DFT calculation (PBE) of crystalline HoEr2Hf at its relaxed geometry.

Its spin magnetization is 0.00 Bohr magnetons per cell. As for the space group: P4/mmm.

Unit cell a=4.807 b=4.807 c=4.812 alpha=90.00 beta=90.00 gamma=90.00
Element x y z (fractional)
1 Ho 0.000 0.000 0.000
2 Er 0.000 0.500 0.500
3 Er 0.500 0.000 0.500
4 Hf 0.500 0.500 0.000


Quick one: most stable of them? model Q


Model P:
The following is a DFT calculation (PBE) of crystalline HoErHf at its relaxed geometry.

Its spin magnetization is 0.00 Bohr magnetons per cell. As for the space group: P2_1/m.

Unit cell a=3.308 b=4.891 c=10.210 alpha=90.00 beta=99.18 gamma=90.00
Element x y z (fractional)
1 Ho 0.052 0.250 0.098
2 Ho 0.948 0.750 0.902
3 Er 0.368 0.250 0.737
4 Er 0.632 0.750 0.263
5 Hf 0.215 0.250 0.428
6 Hf 0.785 0.750 0.572


Model Q:
The following is a DFT calculation (PBE) of crystalline HoErHf at its relaxed geometry.

Its spin magnetization is 0.00 Bohr magnetons per cell. As for the space group: I4mm.

Unit cell a=7.705 b=7.705 c=7.705 alpha=154.87 beta=154.87 gamma=35.84
Element x y z (fractional)
1 Ho 0.000 0.000 0.000
2 Er 0.310 0.310 0.000
3 Hf 0.656 0.656 0.000


Model R:
The following is a DFT calculation (PBE) of crystalline HoErHf at its relaxed geometry.

Its spin magnetization is 0.00 Bohr magnetons per cell. As for the space group: Cmcm.

Unit cell a=5.929 b=5.929 c=5.535 alpha=90.00 beta=90.00 gamma=122.91
Element x y z (fractional)
1 Ho 0.085 0.915 0.750
2 Ho 0.915 0.085 0.250
3 Er 0.257 0.743 0.250
4 Er 0.743 0.257 0.750
5 Hf 0.430 0.570 0.750
6 Hf 0.570 0.430 0.250


Quick one: most stable of them? model Q


Model P:
The following is a DFT calculation (PBE) of crystalline ErHfIr at its relaxed geometry.

Its spin magnetization is 0.00 Bohr magnetons per cell. As for the space group: Amm2.

Unit cell a=4.575 b=7.020 c=7.020 alpha=120.00 beta=90.00 gamma=90.00
Element x y z (fractional)
1 Er 0.000 0.000 0.000
2 Er 0.000 0.416 0.832
3 Er 0.000 0.832 0.416
4 Hf 0.500 0.162 0.417
5 Hf 0.500 0.417 0.162
6 Hf 0.500 0.670 0.670
7 Ir 0.000 0.415 0.415
8 Ir 0.500 0.083 0.750
9 Ir 0.500 0.750 0.083


Model Q:
The following is a DFT calculation (PBE) of crystalline ErHfIr at its relaxed geometry.

Its spin magnetization is 0.00 Bohr magnetons per cell. As for the space group: F-43m.

Unit cell a=4.638 b=4.638 c=4.638 alpha=60.00 beta=60.00 gamma=60.00
Element x y z (fractional)
1 Er 0.000 0.000 0.000
2 Hf 0.500 0.500 0.500
3 Ir 0.250 0.250 0.250


Model R:
The following is a DFT calculation (PBE) of crystalline ErHfIr at its relaxed geometry.

Its spin magnetization is 0.00 Bohr magnetons per cell. As for the space group: Fddd.

Unit cell a=8.389 b=7.345 c=7.104 alpha=70.96 beta=55.86 gamma=53.18
Element x y z (fractional)
1 Er 0.000 0.000 0.000
2 Er 0.000 0.000 0.500
3 Er 0.000 0.500 0.000
4 Er 0.500 0.000 0.000
5 Hf 0.243 0.243 0.507
6 Hf 0.493 0.493 0.757
7 Hf 0.507 0.507 0.243
8 Hf 0.757 0.757 0.493
9 Ir 0.190 0.560 0.190
10 Ir 0.440 0.810 0.440
11 Ir 0.560 0.190 0.560
12 Ir 0.810 0.440 0.810


Quick one: most stable of them? model P


Model P:
The following is a DFT calculation (PBE) of crystalline ErLu2Hf at its relaxed geometry.

Its spin magnetization is 0.00 Bohr magnetons per cell. As for the space group: R-3m.

Unit cell a=11.996 b=11.996 c=11.996 alpha=15.75 beta=15.75 gamma=15.75
Element x y z (fractional)
1 Er 0.000 0.000 0.000
2 Lu 0.413 0.413 0.413
3 Lu 0.587 0.587 0.587
4 Hf 0.500 0.500 0.500


Model Q:
The following is a DFT calculation (PBE) of crystalline ErLu2Hf at its relaxed geometry.

Its spin magnetization is 2.48 Bohr magnetons per cell. As for the space group: Fm-3m.

Unit cell a=5.391 b=5.391 c=5.391 alpha=60.00 beta=60.00 gamma=60.00
Element x y z (fractional)
1 Er 0.000 0.000 0.000
2 Lu 0.250 0.250 0.250
3 Lu 0.750 0.750 0.750
4 Hf 0.500 0.500 0.500


Quick one: most stable of them? model Q


Model P:
The following is a DFT calculation (PBE) of crystalline ErLu2Hf at its relaxed geometry.

Its spin magnetization is 0.02 Bohr magnetons per cell. As for the space group: P4/mmm.

Unit cell a=3.900 b=3.900 c=7.304 alpha=90.00 beta=90.00 gamma=90.00
Element x y z (fractional)
1 Er 0.000 0.000 0.000
2 Lu 0.500 0.500 0.277
3 Lu 0.500 0.500 0.723
4 Hf 0.000 0.000 0.500


Model Q:
The following is a DFT calculation (PBE) of crystalline ErLu2Hf at its relaxed geometry.

Its spin magnetization is 0.00 Bohr magnetons per cell. As for the space group: P4/mmm.

Unit cell a=4.767 b=4.767 c=4.775 alpha=90.00 beta=90.00 gamma=90.00
Element x y z (fractional)
1 Er 0.000 0.000 0.000
2 Lu 0.000 0.500 0.500
3 Lu 0.500 0.000 0.500
4 Hf 0.500 0.500 0.000


Quick one: most stable of them? model Q


Model P:
The following is a DFT calculation (PBE) of crystalline ErLuHf at its relaxed geometry.

Its spin magnetization is 0.00 Bohr magnetons per cell. As for the space group: I4mm.

Unit cell a=7.635 b=7.635 c=7.635 alpha=154.72 beta=154.72 gamma=36.05
Element x y z (fractional)
1 Er 0.000 0.000 0.000
2 Lu 0.689 0.689 0.000
3 Hf 0.343 0.343 0.000


Model Q:
The following is a DFT calculation (PBE) of crystalline ErLuHf at its relaxed geometry.

Its spin magnetization is 0.00 Bohr magnetons per cell. As for the space group: P3m1.

Unit cell a=3.348 b=3.348 c=8.303 alpha=90.00 beta=90.00 gamma=120.00
Element x y z (fractional)
1 Er 0.000 0.000 0.000
2 Lu 0.333 0.667 0.631
3 Hf 0.667 0.333 0.316


Quick one: most stable of them? model P


Model P:
The following is a DFT calculation (PBE) of crystalline Er2HfMg at its relaxed geometry.

Its spin magnetization is 0.00 Bohr magnetons per cell. As for the space group: P4/mmm.

Unit cell a=4.725 b=4.725 c=4.634 alpha=90.00 beta=90.00 gamma=90.00
Element x y z (fractional)
1 Er 0.000 0.500 0.000
2 Er 0.500 0.000 0.000
3 Hf 0.000 0.000 0.500
4 Mg 0.500 0.500 0.500


Model Q:
The following is a DFT calculation (PBE) of crystalline Er2HfMg at its relaxed geometry.

Its spin magnetization is 0.00 Bohr magnetons per cell. As for the space group: R-3m.

Unit cell a=12.209 b=12.209 c=12.209 alpha=15.06 beta=15.06 gamma=15.06
Element x y z (fractional)
1 Er 0.088 0.088 0.088
2 Er 0.912 0.912 0.912
3 Hf 0.000 0.000 0.000
4 Mg 0.500 0.500 0.500


Quick one: most stable of them? model P